AgBrF3: relaxed, PBE.

Cell lengths 4.3414, 4.3414, 4.3414 Å; angles 90.00, 90.00, 90.00 degrees
Space group Pm-3m (No. 221)
Symmetry-distinct sites (fractional):
Ag: 0.0000 0.0000 0.0000 x1
Br: 0.5000 0.5000 0.5000 x1
F: 0.0000 0.0000 0.5000 x3

Results
V ... 16.4 A^3/atom
Calculated total energy ... -2.59 eV per atom
Distance to the lowest polymorph of the same formula ... 1.59 eV/f.u.
E_form (uncorrected) ... -567 meV per atom

HfTiTe2: relaxed, PBE.

Cell lengths 3.5108, 3.5108, 28.4189 Å; angles 90.00, 90.00, 120.00 degrees
Space group R-3m (No. 166, hexagonal axes)
Symmetry-distinct sites (fractional):
Hf: 0.0000 0.0000 0.0000 x3
Ti: 0.0000 0.0000 0.5000 x3
Te: 0.0000 0.0000 0.1013 x6

Results
V ... 25.3 A^3/atom
Calculated total energy ... -6.19 eV per atom
Distance to the lowest polymorph of the same formula ... 1.27 eV/f.u.
E_form (uncorrected) ... -157 meV per atom

Zr2MnMo: relaxed, PBE.

Cell lengths 3.2142, 3.2142, 25.7545 Å; angles 90.00, 90.00, 120.00 degrees
Space group R-3m (No. 166, hexagonal axes)
Symmetry-distinct sites (fractional):
Zr: 0.0000 0.0000 0.2477 x6
Mn: 0.0000 0.0000 0.0000 x3
Mo: 0.0000 0.0000 0.5000 x3

Results
V ... 19.2 A^3/atom
Calculated total energy ... -8.97 eV per atom
DFT formation energy ... 307 meV/atom
Distance to the lowest polymorph of the same formula ... 1.15 eV/f.u.

CrGa2Rh: relaxed, PBE.

Cell lengths 6.1006, 6.1006, 6.1006 Å; angles 90.00, 90.00, 90.00 degrees
Space group Fm-3m (No. 225)
Symmetry-distinct sites (fractional):
Cr: 0.0000 0.0000 0.0000 x4
Ga: 0.2500 0.2500 0.2500 x8
Rh: 0.0000 0.0000 0.5000 x4

Results
V ... 14.2 A^3/atom
Calculated total energy ... -6.08 eV per atom
DFT formation energy ... -326 meV/atom

LaAl2SnPt: relaxed, PBE.

Cell lengths 4.9791, 4.9791, 6.1008 Å; angles 90.00, 90.00, 90.00 degrees
Space group P4/mmm (No. 123)
Symmetry-distinct sites (fractional):
La: 0.0000 0.0000 0.0000 x1
Al: 0.0000 0.5000 0.5000 x2
Sn: 0.0000 0.0000 0.5000 x1
Pt: 0.5000 0.5000 0.0000 x1

Results
V ... 30.2 A^3/atom
Calculated total energy ... -3.89 eV per atom
DFT formation energy ... 603 meV/atom

LiGaSbAu: relaxed, PBE.

Cell lengths 6.8472, 6.8472, 6.8472 Å; angles 90.00, 90.00, 90.00 degrees
Space group F-43m (No. 216)
Symmetry-distinct sites (fractional):
Li: 0.0000 0.0000 0.0000 x4
Ga: 0.2500 0.2500 0.2500 x4
Sb: 0.2500 0.2500 0.7500 x4
Au: 0.0000 0.0000 0.5000 x4

Results
V ... 20.1 A^3/atom
Calculated total energy ... -3.28 eV per atom
E_form (uncorrected) ... -192 meV per atom

Ti2Nb4V: relaxed, PBE.

Cell lengths 4.9083, 19.0054, 2.6957 Å; angles 90.00, 90.00, 90.00 degrees
Space group Cmmm (No. 65)
Symmetry-distinct sites (fractional):
Ti: 0.0000 0.2098 0.0000 x4
Nb: 0.0000 0.0736 0.5000 x4
Nb: 0.0000 0.3619 0.0000 x4
V: 0.0000 0.5000 0.5000 x2

Results
V ... 18.0 A^3/atom
Calculated total energy ... -9.01 eV per atom
DFT formation energy ... 302 meV/atom
Distance to the lowest polymorph of the same formula ... 1.41 eV/f.u.

Rb4Ho3NpSe8: relaxed, PBE.

Cell lengths 8.5056, 8.5056, 23.9941 Å; angles 90.00, 90.00, 120.00 degrees
Space group R-3m (No. 166, hexagonal axes)
Symmetry-distinct sites (fractional):
Rb: 0.0000 0.0000 0.0000 x3
Rb: 0.0000 0.5000 0.0000 x9
Ho: 0.0000 0.5000 0.5000 x9
Np: 0.0000 0.0000 0.5000 x3
Se: 0.0000 0.0000 0.2315 x6
Se: 0.0052 0.5026 0.7682 x18

Results
V ... 31.3 A^3/atom
Calculated total energy ... -5.25 eV per atom
E_form (uncorrected) ... -1602 meV per atom

Pa2Si6Pd21: relaxed, PBE.

Cell lengths 12.2431, 12.2431, 12.2431 Å; angles 90.00, 90.00, 90.00 degrees
Space group Fm-3m (No. 225)
Symmetry-distinct sites (fractional):
Pa: 0.2500 0.2500 0.2500 x8
Si: 0.0000 0.0000 0.2381 x24
Pd: 0.0000 0.0000 0.5000 x4
Pd: 0.0000 0.1733 0.3267 x48
Pd: 0.1174 0.1174 0.1174 x32

Results
V ... 15.8 A^3/atom
Calculated total energy ... -6.22 eV per atom
E_form (uncorrected) ... -680 meV per atom

SiSN: relaxed, PBE.

Cell lengths 14.0557, 2.9356, 5.0144 Å; angles 90.00, 110.18, 90.00 degrees
Space group Cc (No. 9)
Symmetry-distinct sites (fractional):
Si: 0.0000 0.2286 0.0000 x4
S: 0.3398 0.4521 0.3124 x4
N: 0.0402 0.2737 0.7072 x4

Results
V ... 16.2 A^3/atom
Calculated total energy ... -6.45 eV per atom
Distance to the lowest polymorph of the same formula ... 0.00 eV/f.u.
E_form (uncorrected) ... -495 meV per atom

AcTb2Lu: relaxed, PBE.

Cell lengths 3.6637, 3.6637, 10.2122 Å; angles 90.00, 90.00, 90.00 degrees
Space group P4/mmm (No. 123)
Symmetry-distinct sites (fractional):
Ac: 0.0000 0.0000 0.0000 x1
Tb: 0.5000 0.5000 0.2668 x2
Lu: 0.0000 0.0000 0.5000 x1

Results
V ... 34.3 A^3/atom
Calculated total energy ... -4.41 eV per atom
DFT formation energy ... 67 meV/atom
Distance to the lowest polymorph of the same formula ... 0.02 eV/f.u.

Al2FeP: relaxed, PBE.

Cell lengths 3.2015, 3.2015, 5.0650 Å; angles 90.00, 90.00, 90.00 degrees
Space group P4/mmm (No. 123)
Symmetry-distinct sites (fractional):
Al: 0.0000 0.0000 0.2468 x2
Fe: 0.5000 0.5000 0.0000 x1
P: 0.5000 0.5000 0.5000 x1

Results
V ... 13.0 A^3/atom
Calculated total energy ... -5.53 eV per atom
DFT formation energy ... -187 meV/atom

GaAg8: relaxed, PBE.

Cell lengths 8.7642, 8.7642, 4.1468 Å; angles 90.00, 90.00, 90.00 degrees
Space group I4/mmm (No. 139)
Symmetry-distinct sites (fractional):
Ga: 0.0000 0.0000 0.0000 x2
Ag: 0.0000 0.3318 0.0000 x8
Ag: 0.1650 0.1650 0.5000 x8

Results
V ... 17.7 A^3/atom
Calculated total energy ... -2.86 eV per atom
DFT formation energy ... 12 meV/atom
Distance to the lowest polymorph of the same formula ... 0.00 eV/f.u.

FeP2N: relaxed, PBE.

Cell lengths 4.8116, 4.8116, 8.5961 Å; angles 90.00, 90.00, 90.00 degrees
Space group I-42d (No. 122)
Symmetry-distinct sites (fractional):
Fe: 0.0000 0.0000 0.0000 x4
P: 0.2184 0.2500 0.6250 x8
N: 0.0000 0.0000 0.5000 x4

Results
V ... 12.4 A^3/atom
Calculated total energy ... -6.69 eV per atom
E_form (uncorrected) ... 214 meV per atom

TbBiAu2: relaxed, PBE.

Cell lengths 4.5696, 4.5696, 4.4467 Å; angles 90.00, 90.00, 90.00 degrees
Space group P4/mmm (No. 123)
Symmetry-distinct sites (fractional):
Tb: 0.0000 0.0000 0.0000 x1
Bi: 0.5000 0.5000 0.0000 x1
Au: 0.0000 0.5000 0.5000 x2

Results
V ... 23.2 A^3/atom
Calculated total energy ... -4.29 eV per atom
DFT formation energy ... -526 meV/atom

CdReHgO6: relaxed, PBE.

Cell lengths 5.2584, 5.3451, 5.9025 Å; angles 71.49, 68.52, 74.60 degrees
Space group P1 (No. 1)
Symmetry-distinct sites (fractional):
Cd: 0.0000 0.0000 0.0000 x1
Re: 0.2894 0.2492 0.3503 x1
Hg: 0.6600 0.6436 0.6379 x1
O: 0.1337 0.5323 0.1586 x1
O: 0.3101 0.9244 0.6431 x1
O: 0.5119 0.0530 0.1302 x1
O: 0.5498 0.3812 0.3723 x1
O: 0.9817 0.0430 0.3619 x1
O: 0.9911 0.3442 0.6591 x1

Results
V ... 16.0 A^3/atom
Calculated total energy ... -5.76 eV per atom
E_form (uncorrected) ... -936 meV per atom

AgGeSeN2: relaxed, PBE.

Cell lengths 4.1180, 4.1180, 5.6004 Å; angles 90.00, 90.00, 90.00 degrees
Space group P4/mmm (No. 123)
Symmetry-distinct sites (fractional):
Ag: 0.0000 0.0000 0.0000 x1
Ge: 0.5000 0.5000 0.5000 x1
Se: 0.0000 0.0000 0.5000 x1
N: 0.0000 0.5000 0.0000 x2

Results
V ... 19.0 A^3/atom
Calculated total energy ... -3.82 eV per atom
Distance to the lowest polymorph of the same formula ... 2.88 eV/f.u.
E_form (uncorrected) ... 1698 meV per atom

Sm2Zn2SnRh5: relaxed, PBE.

Cell lengths 9.7753, 9.7753, 3.6844 Å; angles 90.00, 90.00, 90.00 degrees
Space group P4/mbm (No. 127)
Symmetry-distinct sites (fractional):
Sm: 0.1746 0.3254 0.0000 x4
Zn: 0.1230 0.6230 0.0000 x4
Sn: 0.0000 0.0000 0.0000 x2
Rh: 0.0000 0.5000 0.5000 x2
Rh: 0.0669 0.7938 0.5000 x8

Results
V ... 17.6 A^3/atom
Calculated total energy ... -5.90 eV per atom
DFT formation energy ... -630 meV/atom

Ag4PdPt: relaxed, PBE.

Cell lengths 8.0457, 8.0871, 4.4706 Å; angles 90.00, 90.00, 90.00 degrees
Space group Cmmm (No. 65)
Symmetry-distinct sites (fractional):
Ag: 0.0000 0.1760 0.0000 x4
Ag: 0.1765 0.5000 0.5000 x4
Pd: 0.0000 0.0000 0.5000 x2
Pt: 0.0000 0.5000 0.0000 x2

Results
V ... 24.2 A^3/atom
Calculated total energy ... -3.12 eV per atom
DFT formation energy ... 657 meV/atom
Distance to the lowest polymorph of the same formula ... 3.94 eV/f.u.

Rb3ScAu: relaxed, PBE.

Cell lengths 6.6643, 6.6643, 6.6643 Å; angles 90.00, 90.00, 90.00 degrees
Space group Pm-3m (No. 221)
Symmetry-distinct sites (fractional):
Rb: 0.0000 0.0000 0.5000 x3
Sc: 0.5000 0.5000 0.5000 x1
Au: 0.0000 0.0000 0.0000 x1

Results
V ... 59.2 A^3/atom
Calculated total energy ... -2.05 eV per atom
DFT formation energy ... 455 meV/atom
Distance to the lowest polymorph of the same formula ... 0.00 eV/f.u.

ZrBeSb2: relaxed, PBE.

Cell lengths 3.7649, 3.7277, 5.9442 Å; angles 90.00, 97.12, 90.00 degrees
Space group P2/m (No. 10)
Symmetry-distinct sites (fractional):
Zr: 0.0000 0.0000 0.0000 x1
Be: 0.0000 0.0000 0.5000 x1
Sb: 0.4458 0.5000 0.7392 x2

Results
V ... 20.7 A^3/atom
Calculated total energy ... -5.20 eV per atom
E_form (uncorrected) ... -66 meV per atom

Hf2AlFe2: relaxed, PBE.

Cell lengths 6.3182, 6.3182, 3.9894 Å; angles 90.00, 90.00, 90.00 degrees
Space group P4/mbm (No. 127)
Symmetry-distinct sites (fractional):
Hf: 0.1853 0.3147 0.0000 x4
Al: 0.0000 0.0000 0.5000 x2
Fe: 0.1186 0.6186 0.5000 x4

Results
V ... 15.9 A^3/atom
Calculated total energy ... -8.40 eV per atom
DFT formation energy ... -281 meV/atom

Ac6Sn2H: relaxed, PBE.

Cell lengths 7.5766, 7.5766, 6.0357 Å; angles 90.00, 90.00, 120.00 degrees
Space group P-3m1 (No. 164)
Symmetry-distinct sites (fractional):
Ac: 0.1745 0.3490 0.2481 x6
Sn: 0.3333 0.6667 0.7532 x2
H: 0.0000 0.0000 0.5000 x1

Results
V ... 33.3 A^3/atom
Calculated total energy ... -4.33 eV per atom

Tb4NdTm: relaxed, PBE.

Cell lengths 9.3180, 9.3180, 9.3180 Å; angles 90.00, 90.00, 90.00 degrees
Space group F-43m (No. 216)
Symmetry-distinct sites (fractional):
Tb: 0.1247 0.1247 0.1247 x16
Nd: 0.0000 0.0000 0.5000 x4
Tm: 0.2500 0.2500 0.7500 x4

Results
V ... 33.7 A^3/atom
Calculated total energy ... -4.36 eV per atom
DFT formation energy ... 267 meV/atom
Distance to the lowest polymorph of the same formula ... 0.43 eV/f.u.

Sb2PAu: relaxed, PBE.

Cell lengths 7.0836, 7.0836, 7.0836 Å; angles 90.00, 90.00, 90.00 degrees
Space group F-43m (No. 216)
Symmetry-distinct sites (fractional):
Sb: 0.0000 0.0000 0.0000 x4
Sb: 0.2500 0.2500 0.2500 x4
P: 0.0000 0.0000 0.5000 x4
Au: 0.2500 0.2500 0.7500 x4

Results
V ... 22.2 A^3/atom
Calculated total energy ... -3.77 eV per atom
E_form (uncorrected) ... 468 meV per atom